No. 1
PBE Cd2CoCuP, relaxed; formation enthalpy at 0 K = 807 meV per atom
1.0
4.9964 0.0000 0.0000
0.0000 4.9964 0.0000
0.0000 0.0000 4.2164
Cd Co Cu P
2 1 1 1
Cartesian
0.0000 2.4982 0.0000 Cd
2.4982 0.0000 0.0000 Cd
0.0000 0.0000 2.1082 Co
2.4982 2.4982 0.0000 Cu
2.4982 2.4982 2.1082 P

---

No. 2
PBE ScCdCoCu, relaxed; formation enthalpy at 0 K = -83 meV per atom
1.0
6.3339 0.0000 0.0000
0.0000 6.3339 0.0000
0.0000 0.0000 6.3339
Sc Cd Co Cu
4 4 4 4
Cartesian
0.0000 0.0000 0.0000 Sc
0.0000 3.1670 3.1670 Sc
3.1670 0.0000 3.1670 Sc
3.1670 3.1670 0.0000 Sc
0.0000 0.0000 3.1670 Cd
0.0000 3.1670 0.0000 Cd
3.1670 0.0000 0.0000 Cd
3.1670 3.1670 3.1670 Cd
1.5835 1.5835 4.7505 Co
1.5835 4.7505 1.5835 Co
4.7505 1.5835 1.5835 Co
4.7505 4.7505 4.7505 Co
1.5835 1.5835 1.5835 Cu
1.5835 4.7505 4.7505 Cu
4.7505 1.5835 4.7505 Cu
4.7505 4.7505 1.5835 Cu

---

No. 3
PBE CdCo2CuSe, relaxed; formation energy without anion corrections = 1.384 eV/atom
1.0
4.7779 0.0000 0.0000
0.0000 4.7779 0.0000
0.0000 0.0000 4.7039
Cd Co Cu Se
1 2 1 1
Cartesian
0.0000 0.0000 0.0000 Cd
0.0000 2.3890 0.0000 Co
2.3890 0.0000 0.0000 Co
0.0000 0.0000 2.3520 Cu
2.3890 2.3890 2.3520 Se

---

No. 4
PBE ThCdCoCu, relaxed; formation enthalpy at 0 K = -6 meV per atom
1.0
6.7381 0.0000 0.0000
0.0000 6.7381 0.0000
0.0000 0.0000 6.7381
Th Cd Co Cu
4 4 4 4
Cartesian
0.0000 0.0000 0.0000 Th
0.0000 3.3690 3.3690 Th
3.3690 0.0000 3.3690 Th
3.3690 3.3690 0.0000 Th
0.0000 0.0000 3.3690 Cd
0.0000 3.3690 0.0000 Cd
3.3690 0.0000 0.0000 Cd
3.3690 3.3690 3.3690 Cd
1.6845 1.6845 5.0536 Co
1.6845 5.0536 1.6845 Co
5.0536 1.6845 1.6845 Co
5.0536 5.0536 5.0536 Co
1.6845 1.6845 1.6845 Cu
1.6845 5.0536 5.0536 Cu
5.0536 1.6845 5.0536 Cu
5.0536 5.0536 1.6845 Cu

---

No. 5
PBE CdCoCu2W, relaxed; formation enthalpy at 0 K = 1932 meV per atom
1.0
4.5399 0.0000 0.0000
0.0000 4.5399 0.0000
0.0000 0.0000 4.6583
Cd Co Cu W
1 1 2 1
Cartesian
0.0000 0.0000 0.0000 Cd
0.0000 0.0000 2.3292 Co
0.0000 2.2699 0.0000 Cu
2.2699 0.0000 0.0000 Cu
2.2699 2.2699 2.3292 W

---

No. 6
PBE ZnCdCoCu, relaxed; formation enthalpy at 0 K = 166 meV per atom
1.0
6.1054 0.0000 0.0000
0.0000 6.1054 0.0000
0.0000 0.0000 6.1054
Zn Cd Co Cu
4 4 4 4
Cartesian
0.0000 0.0000 0.0000 Zn
0.0000 3.0527 3.0527 Zn
3.0527 0.0000 3.0527 Zn
3.0527 3.0527 0.0000 Zn
0.0000 0.0000 3.0527 Cd
0.0000 3.0527 0.0000 Cd
3.0527 0.0000 0.0000 Cd
3.0527 3.0527 3.0527 Cd
1.5263 1.5263 1.5263 Co
1.5263 4.5790 4.5790 Co
4.5790 1.5263 4.5790 Co
4.5790 4.5790 1.5263 Co
1.5263 1.5263 4.5790 Cu
1.5263 4.5790 1.5263 Cu
4.5790 1.5263 1.5263 Cu
4.5790 4.5790 4.5790 Cu

---

No. 7
PBE Dy2Cd3Co2, relaxed; formation enthalpy at 0 K = -229 meV per atom
1.0
3.8002 0.0000 0.0000
0.0000 20.3321 0.0000
0.0000 0.0000 3.8140
Dy Cd Co
4 6 4
Cartesian
0.0000 3.5260 0.0000 Dy
0.0000 16.8061 0.0000 Dy
1.9001 6.6401 0.0000 Dy
1.9001 13.6920 0.0000 Dy
0.0000 0.0000 0.0000 Cd
0.0000 8.5485 1.9070 Cd
0.0000 11.7835 1.9070 Cd
1.9001 1.6175 1.9070 Cd
1.9001 10.1660 0.0000 Cd
1.9001 18.7145 1.9070 Cd
0.0000 5.7062 1.9070 Co
0.0000 14.6259 1.9070 Co
1.9001 4.4599 1.9070 Co
1.9001 15.8722 1.9070 Co

---

No. 8
PBE Dy12CdCo6, relaxed; formation enthalpy at 0 K = -218 meV per atom
1.0
-4.8244 4.8244 4.8244
4.8244 -4.8244 4.8244
4.8244 4.8244 -4.8244
Dy Cd Co
12 1 6
Cartesian
4.8244 2.9510 -1.8974 Dy
2.9270 0.0000 1.8734 Dy
6.7218 0.0000 1.8734 Dy
1.8734 2.9270 0.0000 Dy
2.9510 -1.8974 4.8244 Dy
0.0000 1.8734 2.9270 Dy
4.8244 2.9510 1.8974 Dy
1.8734 6.7218 0.0000 Dy
2.9510 1.8974 4.8244 Dy
-1.8974 4.8244 2.9510 Dy
1.8974 4.8244 2.9510 Dy
0.0000 1.8734 6.7218 Dy
0.0000 0.0000 0.0000 Cd
4.8244 1.0926 0.0000 Co
4.8244 0.0000 3.7318 Co
3.7318 4.8244 0.0000 Co
1.0926 0.0000 4.8244 Co
0.0000 4.8244 1.0926 Co
0.0000 3.7318 4.8244 Co

---

No. 9
PBE Dy4Cd2Co, relaxed; formation enthalpy at 0 K = -82 meV per atom
1.0
5.0550 0.0000 0.0000
0.0000 5.0550 0.0000
0.0000 0.0000 15.5788
Dy Cd Co
8 4 2
Cartesian
0.0000 0.0000 2.6882 Dy
0.0000 0.0000 12.8907 Dy
0.0000 2.5275 0.0000 Dy
0.0000 2.5275 7.7894 Dy
2.5275 0.0000 0.0000 Dy
2.5275 0.0000 7.7894 Dy
2.5275 2.5275 5.1012 Dy
2.5275 2.5275 10.4776 Dy
0.0000 0.0000 5.7465 Cd
0.0000 0.0000 9.8323 Cd
2.5275 2.5275 2.0429 Cd
2.5275 2.5275 13.5359 Cd
0.0000 0.0000 0.0000 Co
2.5275 2.5275 7.7894 Co

---

No. 10
PBE DyCdCo, relaxed; formation enthalpy at 0 K = -279 meV per atom
1.0
3.8759 0.0000 0.0000
0.0000 16.7300 0.0000
0.0000 0.0000 3.8079
Dy Cd Co
4 4 4
Cartesian
0.0000 1.5433 0.9520 Dy
0.0000 15.1868 2.8559 Dy
1.9380 6.8218 2.8559 Dy
1.9380 9.9083 0.9520 Dy
0.0000 4.9594 0.9520 Cd
0.0000 11.7707 2.8559 Cd
1.9380 3.4056 2.8559 Cd
1.9380 13.3244 0.9520 Cd
0.0000 7.7541 0.9520 Co
0.0000 8.9759 2.8559 Co
1.9380 0.6109 2.8559 Co
1.9380 16.1191 0.9520 Co

---

No. 11
PBE DyCdCo, relaxed; formation enthalpy at 0 K = -202 meV per atom
1.0
12.9498 0.0000 0.0000
0.0000 3.8382 0.0000
-1.0929 0.0000 4.9732
Dy Cd Co
4 4 4
Cartesian
1.4481 0.0000 1.6216 Dy
3.9338 1.9191 3.3516 Dy
7.9230 1.9191 1.6216 Dy
10.4087 0.0000 3.3516 Dy
0.1026 1.9191 3.8921 Cd
5.2794 0.0000 1.0811 Cd
6.5774 0.0000 3.8921 Cd
11.7543 1.9191 1.0811 Cd
2.0392 0.0000 4.3859 Co
3.3428 1.9191 0.5874 Co
8.5140 1.9191 4.3859 Co
9.8177 0.0000 0.5874 Co

---

No. 12
PBE Dy5CdCo, relaxed; formation enthalpy at 0 K = -50 meV per atom
1.0
4.6284 -3.6477 0.0000
4.6284 3.6477 0.0000
-3.4807 0.0000 11.2106
Dy Cd Co
10 2 2
Cartesian
2.0179 3.5719 8.4079 Dy
0.0590 1.1790 6.9871 Dy
0.2400 1.2635 10.4584 Dy
1.7993 -1.1790 1.3818 Dy
3.7957 1.2635 6.3575 Dy
1.9804 -1.2635 4.8531 Dy
3.9768 1.1790 9.8288 Dy
5.5361 -1.2635 0.7522 Dy
5.7172 -1.1790 4.2235 Dy
3.7583 -3.5719 2.8026 Dy
3.7583 0.6992 2.8026 Cd
2.0179 -0.6992 8.4079 Cd
0.0000 0.0000 0.0000 Co
-1.7404 0.0000 5.6053 Co

---

Number 1: electronic total energy -14.4 eV for the cell shown, total magnetization 1.868 Bohr magnetons per cell. Number 2: electronic total energy -75.1 eV for the cell shown, total magnetization 2.485 Bohr magnetons per cell. Number 3: electronic total energy -15.8 eV for the cell shown, total magnetization 3.239 Bohr magnetons per cell. Number 4: electronic total energy -78.2 eV for the cell shown, total magnetization 1.788 Bohr magnetons per cell. Number 5: electronic total energy -19.5 eV for the cell shown, total magnetization 4.345 Bohr magnetons per cell. Number 6: electronic total energy -50.9 eV for the cell shown, total magnetization 3.362 Bohr magnetons per cell. Number 7: electronic total energy -55.5 eV for the cell shown, total magnetization 2.092 Bohr magnetons per cell. Number 8: electronic total energy -102.9 eV for the cell shown, total magnetization 0.001 Bohr magnetons per cell. Number 9: electronic total energy -55.8 eV for the cell shown, total magnetization 0.000 Bohr magnetons per cell. Number 10: electronic total energy -53.8 eV for the cell shown, total magnetization 1.413 Bohr magnetons per cell. Number 11: electronic total energy -52.9 eV for the cell shown, total magnetization 0.000 Bohr magnetons per cell. Number 12: electronic total energy -62.8 eV for the cell shown, total magnetization 0.000 Bohr magnetons per cell.